The following is a DFT calculation (PBE-GGA) of a relaxed VCoPdPt crystal.

## Properties
Its symmetry is Imm2 (44). As for the density of states at the Fermi level: 1.01 states/eV/atom. For the formation enthalpy at 0 K, the calculation gives -0.261 eV/atom.

Structure (extended XYZ):
```
4
Lattice="3.801 0.000 0.000 0.000 3.795 0.000 -1.900 -1.898 3.809" Properties=species:S:1:pos:R:3 pbc="T T T"
Pt 1.900 0.000 2.816
Co 0.000 1.898 2.820
V 1.900 1.898 0.910
Pd 0.000 0.000 0.913
```